No. 1
# Sc2ZnPdC PBE-GGA relaxed
# Spin magnetization   0.0 μB/f.u.
# Formation energy   -420 meV per atom
# Crystal system   tetragonal
# N(E_F)   0.81 states/eV per atom
data_Sc2ZnPdC
_space_group_name_H-M_alt 'P 4/m m m'
_space_group_IT_number 123
_space_group_name_Hall '-P 4 2'
_cell_length_a 4.532
_cell_length_b 4.532
_cell_length_c 3.918
_cell_angle_alpha 90.00
_cell_angle_beta 90.00
_cell_angle_gamma 90.00
loop_
_atom_site_label
_atom_site_fract_x
_atom_site_fract_y
_atom_site_fract_z
Sc1 0.000 0.500 0.000
Zn1 0.000 0.000 0.500
Pd1 0.500 0.500 0.500
C1 0.000 0.000 0.000

No. 2
# Sc2ZnPdC PBE-GGA relaxed
# Spin magnetization   0.0 μB/f.u.
# Formation energy   -383 meV per atom
# Crystal system   tetragonal
# N(E_F)   0.84 states/eV per atom
data_Sc2ZnPdC
_space_group_name_H-M_alt 'P 4/m m m'
_space_group_IT_number 123
_space_group_name_Hall '-P 4 2'
_cell_length_a 4.481
_cell_length_b 4.481
_cell_length_c 4.112
_cell_angle_alpha 90.00
_cell_angle_beta 90.00
_cell_angle_gamma 90.00
loop_
_atom_site_label
_atom_site_fract_x
_atom_site_fract_y
_atom_site_fract_z
Sc1 0.000 0.500 0.000
Zn1 0.000 0.000 0.500
Pd1 0.500 0.500 0.500
C1 0.500 0.500 0.000

No. 3
# ZrSc2PdC PBE-GGA relaxed
# Spin magnetization   0.0 μB/f.u.
# Formation energy   -505 meV per atom
# Crystal system   tetragonal
# N(E_F)   1.30 states/eV per atom
data_ZrSc2PdC
_space_group_name_H-M_alt 'P 4/m m m'
_space_group_IT_number 123
_space_group_name_Hall '-P 4 2'
_cell_length_a 4.425
_cell_length_b 4.425
_cell_length_c 4.593
_cell_angle_alpha 90.00
_cell_angle_beta 90.00
_cell_angle_gamma 90.00
loop_
_atom_site_label
_atom_site_fract_x
_atom_site_fract_y
_atom_site_fract_z
Zr1 0.000 0.000 0.000
Sc1 0.000 0.500 0.500
Pd1 0.500 0.500 0.000
C1 0.000 0.000 0.500

No. 4
# ZrScPdC2 PBE-GGA relaxed
# Spin magnetization   0.0 μB/f.u.
# Formation energy   1260 meV per atom
# Crystal system   tetragonal
# N(E_F)   0.77 states/eV per atom
data_ZrScPdC2
_space_group_name_H-M_alt 'P 4/m m m'
_space_group_IT_number 123
_space_group_name_Hall '-P 4 2'
_cell_length_a 4.186
_cell_length_b 4.186
_cell_length_c 4.714
_cell_angle_alpha 90.00
_cell_angle_beta 90.00
_cell_angle_gamma 90.00
loop_
_atom_site_label
_atom_site_fract_x
_atom_site_fract_y
_atom_site_fract_z
Zr1 0.000 0.000 0.000
Sc1 0.500 0.500 0.500
Pd1 0.500 0.500 0.000
C1 0.000 0.500 0.500

No. 5
# Zr2ScPdC PBE-GGA relaxed
# Spin magnetization   0.0 μB/f.u.
# Formation energy   -474 meV per atom
# Crystal system   tetragonal
# N(E_F)   1.20 states/eV per atom
data_Zr2ScPdC
_space_group_name_H-M_alt 'P 4/m m m'
_space_group_IT_number 123
_space_group_name_Hall '-P 4 2'
_cell_length_a 4.544
_cell_length_b 4.544
_cell_length_c 4.400
_cell_angle_alpha 90.00
_cell_angle_beta 90.00
_cell_angle_gamma 90.00
loop_
_atom_site_label
_atom_site_fract_x
_atom_site_fract_y
_atom_site_fract_z
Zr1 0.000 0.500 0.000
Sc1 0.000 0.000 0.500
Pd1 0.500 0.500 0.500
C1 0.000 0.000 0.000

No. 6
# Pd2CSe PBE-GGA relaxed
# Formation energy from raw total energies   1.009 eV per atom
# Spin magnetization   0.0 μB/f.u.
# Crystal system   cubic
# N(E_F)   0.61 states/eV per atom
data_Pd2CSe
_space_group_name_H-M_alt 'F m -3 m'
_space_group_IT_number 225
_space_group_name_Hall '-F 4 2 3'
_cell_length_a 6.087
_cell_length_b 6.087
_cell_length_c 6.087
_cell_angle_alpha 90.00
_cell_angle_beta 90.00
_cell_angle_gamma 90.00
loop_
_atom_site_label
_atom_site_fract_x
_atom_site_fract_y
_atom_site_fract_z
Pd1 0.250 0.250 0.250
C1 0.000 0.000 0.000
Se1 0.000 0.000 0.500

No. 7
# Pd3CSe PBE-GGA relaxed
# Formation energy from raw total energies   1.520 eV per atom
# Spin magnetization   0.4 μB/f.u.
# Crystal system   cubic
# N(E_F)   0.62 states/eV per atom
data_Pd3CSe
_space_group_name_H-M_alt 'P m -3 m'
_space_group_IT_number 221
_space_group_name_Hall '-P 4 2 3'
_cell_length_a 4.662
_cell_length_b 4.662
_cell_length_c 4.662
_cell_angle_alpha 90.00
_cell_angle_beta 90.00
_cell_angle_gamma 90.00
loop_
_atom_site_label
_atom_site_fract_x
_atom_site_fract_y
_atom_site_fract_z
Pd1 0.000 0.000 0.500
C1 0.500 0.500 0.500
Se1 0.000 0.000 0.000

No. 8
# PdCSe3 PBE-GGA relaxed
# Formation energy from raw total energies   1.776 eV per atom
# Spin magnetization   0.5 μB/f.u.
# Crystal system   cubic
# N(E_F)   1.14 states/eV per atom
data_PdCSe3
_space_group_name_H-M_alt 'P m -3 m'
_space_group_IT_number 221
_space_group_name_Hall '-P 4 2 3'
_cell_length_a 4.945
_cell_length_b 4.945
_cell_length_c 4.945
_cell_angle_alpha 90.00
_cell_angle_beta 90.00
_cell_angle_gamma 90.00
loop_
_atom_site_label
_atom_site_fract_x
_atom_site_fract_y
_atom_site_fract_z
Pd1 0.000 0.000 0.000
C1 0.500 0.500 0.500
Se1 0.000 0.000 0.500